No. 1
An optimized crystal structure of CePmFe. Source: Alexandria via LeMat-Bulk, functional PBE.

Geometry as CIF:
```
data_CePmFe
_cell_length_a 4.0600
_cell_length_b 4.0600
_cell_length_c 5.0791
_cell_angle_alpha 90.00
_cell_angle_beta 90.00
_cell_angle_gamma 120.00
_symmetry_space_group_name_H-M 'P -6 m 2'
_symmetry_Int_Tables_number 187
_symmetry_space_group_name_Hall 'P -6 2'
loop_
_atom_site_label
_atom_site_type_symbol
_atom_site_fract_x
_atom_site_fract_y
_atom_site_fract_z
Ce1 Ce 0.0000 0.0000 0.0000
Pm1 Pm 0.6667 0.3333 0.5000
Fe1 Fe 0.3333 0.6667 0.0000
```

Results
The density is 7.81 Mg/m³. As for the energy relative to the elements: 3.0 kJ per mole of atoms.



No. 2
An optimized crystal structure of CePuZr2. Source: Alexandria via LeMat-Bulk, functional PBE.

Geometry as CIF:
```
data_CePuZr2
_cell_length_a 4.450
_cell_length_b 4.450
_cell_length_c 4.959
_cell_angle_alpha 90.00
_cell_angle_beta 90.00
_cell_angle_gamma 90.00
_symmetry_space_group_name_H-M 'P 4/m m m'
_symmetry_Int_Tables_number 123
_symmetry_space_group_name_Hall '-P 4 2'
loop_
_atom_site_label
_atom_site_type_symbol
_atom_site_fract_x
_atom_site_fract_y
_atom_site_fract_z
Ce1 Ce 0.000 0.000 0.000
Pu1 Pu 0.500 0.500 0.000
Zr1 Zr 0.000 0.500 0.500
```

Results
The density is 9.58 Mg/m³. As for the energy relative to the elements: 9.0 kJ per mole of atoms.